DFT (PBE) results for crystalline MgCoRu2 at its relaxed geometry.

Cell lengths 5.397, 5.397, 5.397 Å; angles 150.72, 132.29, 56.96 degrees
Positions (direct):
Co  0.250  0.750  0.500
Ru  0.466  0.466  0.000
Mg  0.750  0.250  0.500
Ru  0.034  0.034  0.000

Computed properties:
The formation energy comes out at 0.16 eV/atom. The calculation puts the raw total energy at -6.656 eV per atom. The total moment is 0.01 μB/cell.